Material: KNaLiP
Method: DFT, PBE
State: optimized geometry

Values from the calculation:
uncorrected energy	-2.736	eV/atom
E above lowest polymorph	74	meV/atom
total moment	0.0	μB/f.u.
ΔE_f	-0.301	eV per atom

Cell: 4.9303 4.9303 4.9303 Å, 60.00 60.00 60.00°
Fractional coordinates of all 4 atoms:
Na 0.5000 0.5000 0.5000
Li 0.0000 0.0000 0.0000
P 0.2500 0.2500 0.2500
K 0.7500 0.7500 0.7500